[1]
A plane-wave DFT calculation with PBE-GGA was carried out for a geometry-optimized NaCoCl3 structure.

Computed properties:
uncorrected formation energy = -1.00 eV/atom
density = 2.95 g/cm³
volume = 21.19 Å³ per atom

Cell and atoms, written as POSCAR:
```
NaCoCl3
1.0
8.443 0.000 0.000
0.000 3.680 0.000
0.000 0.000 13.640
Na Co Cl
4 4 12
Direct
0.071 0.250 0.193
0.429 0.750 0.693
0.571 0.250 0.307
0.929 0.750 0.807
0.181 0.750 0.458
0.319 0.250 0.958
0.681 0.750 0.042
0.819 0.250 0.542
0.001 0.250 0.400
0.173 0.750 0.029
0.197 0.250 0.802
0.303 0.750 0.302
0.327 0.250 0.529
0.499 0.750 0.900
0.501 0.250 0.100
0.673 0.750 0.471
0.697 0.250 0.698
0.803 0.750 0.198
0.827 0.250 0.971
0.999 0.750 0.600
```



[2]
A plane-wave DFT calculation with PBE-GGA was carried out for a geometry-optimized LaPr2Ho2 structure.

Computed properties:
relative energy among the computed polymorphs = 0 meV/atom
density = 7.24 g/cm³
calculated formation energy = 0.098 eV/atom
volume = 34.43 Å³ per atom

Cell and atoms, written as POSCAR:
```
LaPr2Ho2
1.0
4.243 0.000 0.000
0.000 4.243 0.000
0.000 0.000 19.123
La Pr Ho
2 4 4
Direct
0.000 0.000 0.000
0.500 0.500 0.500
0.000 0.000 0.196
0.000 0.000 0.804
0.500 0.500 0.304
0.500 0.500 0.696
0.000 0.000 0.399
0.000 0.000 0.601
0.500 0.500 0.101
0.500 0.500 0.899
```



[3]
A plane-wave DFT calculation with PBE-GGA was carried out for a geometry-optimized Li2TlSe structure.

Computed properties:
uncorrected formation energy = -0.57 eV/atom
density = 5.60 g/cm³
volume = 22.04 Å³ per atom

Cell and atoms, written as POSCAR:
```
Li2TlSe
1.0
3.936 0.000 0.000
0.000 5.570 0.000
0.000 0.000 8.044
Li Tl Se
4 2 2
Direct
0.000 0.000 0.199
0.000 0.000 0.801
0.500 0.500 0.301
0.500 0.500 0.699
0.000 0.500 0.000
0.500 0.000 0.500
0.000 0.500 0.500
0.500 0.000 0.000
```



[4]
A plane-wave DFT calculation with PBE-GGA was carried out for a geometry-optimized BaCrCl2 structure.

Computed properties:
relative energy among the computed polymorphs = 127 meV/atom
uncorrected formation energy = -0.84 eV/atom
density = 3.88 g/cm³
volume = 27.81 Å³ per atom

Cell and atoms, written as POSCAR:
```
BaCrCl2
1.0
4.035 0.000 0.000
0.000 5.233 0.000
0.000 0.000 10.538
Ba Cr Cl
2 2 4
Direct
0.000 0.000 0.000
0.500 0.500 0.500
0.000 0.500 0.227
0.500 0.000 0.727
0.000 0.000 0.540
0.000 0.500 0.748
0.500 0.000 0.248
0.500 0.500 0.040
```



[5]
A plane-wave DFT calculation with PBE-GGA was carried out for a geometry-optimized TiTeS3 structure.

Computed properties:
relative energy among the computed polymorphs = 1262 meV/atom
uncorrected formation energy = 0.67 eV/atom
density = 3.64 g/cm³
volume = 24.78 Å³ per atom

Cell and atoms, written as POSCAR:
```
TiTeS3
1.0
4.985 0.000 0.000
0.000 4.985 0.000
0.000 0.000 4.985
Ti Te S
1 1 3
Direct
0.000 0.000 0.000
0.500 0.500 0.500
0.000 0.500 0.500
0.500 0.000 0.500
0.500 0.500 0.000
```



[6]
A plane-wave DFT calculation with PBE-GGA was carried out for a geometry-optimized AlCu6Au2 structure.

Computed properties:
density = 10.55 g/cm³
calculated formation energy = -0.051 eV/atom
volume = 14.04 Å³ per atom

Cell and atoms, written as POSCAR:
```
AlCu6Au2
1.0
3.857 -2.523 0.000
3.857 2.523 0.000
-1.544 0.000 6.489
Al Cu Au
1 6 2
Direct
0.000 0.000 0.000
0.219 0.710 0.312
0.247 0.247 0.490
0.290 0.781 0.688
0.710 0.219 0.312
0.753 0.753 0.510
0.781 0.290 0.688
0.318 0.318 0.917
0.682 0.682 0.083
```



[7]
A plane-wave DFT calculation with PBE-GGA was carried out for a geometry-optimized Y3ErTm3 structure.

Computed properties:
relative energy among the computed polymorphs = 149 meV/atom
density = 6.83 g/cm³
calculated formation energy = 0.152 eV/atom
volume = 32.68 Å³ per atom

Cell and atoms, written as POSCAR:
```
Y3ErTm3
1.0
3.068 1.772 14.027
-3.068 1.772 14.027
0.000 -3.543 14.027
Y Er Tm
6 2 6
Direct
0.132 0.463 0.801
0.199 0.868 0.537
0.463 0.801 0.132
0.537 0.199 0.868
0.801 0.132 0.463
0.868 0.537 0.199
0.333 0.333 0.333
0.667 0.667 0.667
0.066 0.731 0.400
0.269 0.600 0.934
0.400 0.066 0.731
0.600 0.934 0.269
0.731 0.400 0.066
0.934 0.269 0.600
```



[8]
A plane-wave DFT calculation with PBE-GGA was carried out for a geometry-optimized MgTaHg2 structure.

Computed properties:
density = 12.69 g/cm³
calculated formation energy = 0.270 eV/atom
volume = 19.84 Å³ per atom

Cell and atoms, written as POSCAR:
```
MgTaHg2
1.0
3.029 0.000 0.000
0.000 4.106 0.000
-0.042 0.000 6.380
Mg Ta Hg
1 1 2
Direct
0.000 0.000 0.000
0.000 0.000 0.500
0.500 0.500 0.250
0.500 0.500 0.750
```



[9]
A plane-wave DFT calculation with PBE-GGA was carried out for a geometry-optimized Zn4PtSe structure.

Computed properties:
uncorrected formation energy = 0.09 eV/atom
density = 9.30 g/cm³
volume = 15.94 Å³ per atom

Cell and atoms, written as POSCAR:
```
Zn4PtSe
1.0
0.000 3.630 3.630
3.630 0.000 3.630
3.630 3.630 0.000
Zn Pt Se
4 1 1
Direct
0.125 0.125 0.125
0.125 0.125 0.624
0.125 0.624 0.125
0.624 0.125 0.125
0.500 0.500 0.500
0.750 0.750 0.750
```



[10]
A plane-wave DFT calculation with PBE-GGA was carried out for a geometry-optimized MnSiAs2 structure.

Computed properties:
uncorrected formation energy = 0.18 eV/atom
density = 5.65 g/cm³
volume = 17.10 Å³ per atom

Cell and atoms, written as POSCAR:
```
MnSiAs2
1.0
3.544 0.000 0.000
0.000 4.203 0.000
0.000 0.000 9.182
Mn Si As
2 2 4
Direct
0.000 0.000 0.000
0.500 0.500 0.000
0.000 0.500 0.180
0.500 0.000 0.180
0.000 0.000 0.417
0.000 0.500 0.805
0.500 0.000 0.805
0.500 0.500 0.417
```



[11]
A plane-wave DFT calculation with PBE-GGA was carried out for a geometry-optimized Hf4In5Ir2 structure.

Computed properties:
density = 11.89 g/cm³
calculated formation energy = -0.445 eV/atom
volume = 21.24 Å³ per atom

Cell and atoms, written as POSCAR:
```
Hf4In5Ir2
1.0
7.667 0.000 0.000
0.000 3.240 0.000
-0.575 0.000 9.403
Hf In Ir
4 5 2
Direct
0.192 0.000 0.354
0.208 0.000 0.932
0.792 0.000 0.068
0.808 0.000 0.646
0.155 0.500 0.636
0.466 0.500 0.169
0.500 0.500 0.500
0.534 0.500 0.831
0.845 0.500 0.364
0.084 0.500 0.139
0.916 0.500 0.861
```



[12]
A plane-wave DFT calculation with PBE-GGA was carried out for a geometry-optimized Rb2MgInSe4 structure.

Computed properties:
uncorrected formation energy = -0.89 eV/atom
density = 4.15 g/cm³
volume = 31.29 Å³ per atom

Cell and atoms, written as POSCAR:
```
Rb2MgInSe4
1.0
8.310 0.000 0.000
0.000 8.310 0.000
0.000 0.000 7.249
Rb Mg In Se
4 2 2 8
Direct
0.000 0.500 0.000
0.000 0.500 0.500
0.500 0.000 0.000
0.500 0.000 0.500
0.000 0.000 0.000
0.500 0.500 0.500
0.000 0.000 0.500
0.500 0.500 0.000
0.162 0.162 0.251
0.162 0.838 0.749
0.338 0.338 0.751
0.338 0.662 0.249
0.662 0.338 0.249
0.662 0.662 0.751
0.838 0.162 0.749
0.838 0.838 0.251
```



[13]
A plane-wave DFT calculation with PBE-GGA was carried out for a geometry-optimized HfAgTeRu2 structure.

Computed properties:
relative energy among the computed polymorphs = 409 meV/atom
uncorrected formation energy = 1.62 eV/atom
density = 8.75 g/cm³
volume = 23.37 Å³ per atom

Cell and atoms, written as POSCAR:
```
HfAgTeRu2
1.0
4.871 0.000 0.000
0.000 4.871 0.000
0.000 0.000 4.926
Hf Ag Te Ru
1 1 1 2
Direct
0.000 0.000 0.000
0.500 0.500 0.500
0.500 0.500 0.000
0.000 0.500 0.500
0.500 0.000 0.500
```



[14]
A plane-wave DFT calculation with PBE-GGA was carried out for a geometry-optimized GaPN2 structure.

Computed properties:
relative energy among the computed polymorphs = 1541 meV/atom
uncorrected formation energy = 1.46 eV/atom
density = 5.31 g/cm³
volume = 10.07 Å³ per atom

Cell and atoms, written as POSCAR:
```
GaPN2
1.0
5.441 0.000 0.000
0.000 5.441 0.000
0.000 0.000 5.441
Ga P N
4 4 8
Direct
0.000 0.000 0.000
0.000 0.500 0.500
0.500 0.000 0.500
0.500 0.500 0.000
0.000 0.000 0.500
0.000 0.500 0.000
0.500 0.000 0.000
0.500 0.500 0.500
0.250 0.250 0.250
0.250 0.250 0.750
0.250 0.750 0.250
0.250 0.750 0.750
0.750 0.250 0.250
0.750 0.250 0.750
0.750 0.750 0.250
0.750 0.750 0.750
```



| no. | VASP energy (eV/atom) |
| --- | --- |
| 1 | -3.79 |
| 2 | -4.63 |
| 3 | -2.99 |
| 4 | -4.65 |
| 5 | -4.01 |
| 6 | -3.93 |
| 7 | -5.19 |
| 8 | -3.24 |
| 9 | -2.34 |
| 10 | -5.79 |
| 11 | -6.92 |
| 12 | -3.41 |
| 13 | -5.28 |
| 14 | -4.81 |